Crystalline Rb2AcU2S7 at its relaxed geometry, computed with PBE.

```
12
Lattice="5.187 -0.003 0.014 0.003 5.187 0.014 2.562 2.559 13.584" Properties=species:S:1:pos:R:3 pbc="T T T"
S 2.569 5.159 11.537
S 2.581 2.578 5.095
S 2.595 2.592 0.014
S 2.590 5.180 2.075
S 5.162 2.563 11.537
S 5.171 5.165 8.517
S 5.183 2.584 2.075
Rb 2.576 2.572 8.473
Rb 5.177 5.170 5.139
U 5.164 5.158 11.017
U 2.588 2.585 2.595
Ac 0.000 0.000 0.000
```

Its total magnetization is 3.00 Bohr magnetons per cell. The uncorrected formation energy is -1.481 eV/atom.

Crystalline RbAc2US5 at its relaxed geometry, computed with PBE.

```
9
Lattice="-0.097 -2.629 4.395 6.349 -3.502 -1.955 0.758 8.309 2.002" Properties=species:S:1:pos:R:3 pbc="T T T"
Ac 1.597 2.156 1.325
Ac 5.414 0.023 3.118
S 0.000 0.000 0.000
S 5.969 -2.458 1.646
S 1.041 4.636 2.796
S 4.439 2.762 1.750
S 2.571 -0.584 2.692
Rb 3.175 -1.751 -0.977
U -0.048 -1.315 2.198
```

Its total magnetization is 2.88 Bohr magnetons per cell. The uncorrected formation energy is -1.752 eV/atom.

Crystalline Rb2AcVS4 at its relaxed geometry, computed with PBE.

```
8
Lattice="7.198 -0.115 -0.176 -3.171 6.463 0.176 -3.171 -2.440 5.987" Properties=species:S:1:pos:R:3 pbc="T T T"
Rb 0.428 4.180 1.541
Rb 0.000 0.000 0.000
Ac 0.428 -0.272 4.446
S -2.300 -0.058 3.661
S -2.309 3.380 4.743
S 4.537 3.090 0.984
S 1.783 1.404 2.586
V -3.171 2.012 3.082
```

Its total magnetization is 2.00 Bohr magnetons per cell. The uncorrected formation energy is -1.249 eV/atom.

Crystalline RbAcVS4 at its relaxed geometry, computed with PBE.

```
14
Lattice="-3.650 -4.630 3.725 2.305 -4.927 -3.864 8.297 0.726 4.025" Properties=species:S:1:pos:R:3 pbc="T T T"
S 3.472 -6.587 4.658
S 2.013 -3.740 3.089
S 3.480 -2.244 -0.772
S 4.604 -9.006 2.761
S 2.348 0.176 1.125
S 5.321 -3.360 4.579
S 4.940 -5.091 0.797
S 1.631 -5.470 -0.693
V 3.576 -4.449 -0.834
V 3.376 -4.381 4.721
Rb 6.853 -6.348 3.542
Rb 0.099 -2.483 0.345
Ac 2.669 -6.898 1.747
Ac 4.283 -1.932 2.139
```

Its total magnetization is 2.00 Bohr magnetons per cell. The uncorrected formation energy is -1.445 eV/atom.

Crystalline Rb3Ac3VS8 at its relaxed geometry, computed with PBE.

```
15
Lattice="-1.728 -2.426 -7.948 1.487 -5.828 5.987 -8.066 4.512 0.377" Properties=species:S:1:pos:R:3 pbc="T T T"
Rb 0.000 0.000 0.000
Rb 0.743 -2.914 2.993
Rb -0.121 -4.127 -0.980
V -4.033 2.256 0.189
S -2.948 0.780 -1.518
S -3.086 -3.975 -2.648
S -4.364 -3.124 4.513
S -2.012 -2.400 1.170
S -5.359 -4.522 -0.066
S -5.221 0.233 1.064
S -3.943 -0.618 -6.097
S -6.295 -1.342 -2.753
Ac -3.290 -0.658 3.182
Ac -4.154 -1.871 -0.792
Ac -4.897 1.043 -3.785
```

Its total magnetization is 1.00 Bohr magnetons per cell. The uncorrected formation energy is -1.556 eV/atom.

Crystalline Rb4Ac3VS8 at its relaxed geometry, computed with PBE.

```
16
Lattice="8.557 0.000 0.000 0.000 9.163 0.415 -4.279 -4.273 6.055" Properties=species:S:1:pos:R:3 pbc="T T T"
S 0.000 4.508 2.852
S 6.653 2.753 0.263
S 0.000 0.401 3.305
S -2.375 2.136 6.208
S 4.279 0.381 3.618
S 4.279 4.489 3.166
S 2.375 2.136 6.208
S 1.904 2.753 0.263
Rb 0.000 0.000 0.000
Rb 4.279 0.000 0.000
Rb -2.139 -2.137 3.028
Rb 2.139 -2.137 3.028
Ac -2.139 2.445 3.235
Ac 2.139 2.445 3.235
Ac 4.279 4.582 0.208
V 0.000 4.582 0.208
```

Its total magnetization is 2.00 Bohr magnetons per cell. The uncorrected formation energy is -1.553 eV/atom.